Record 1
The following is a DFT calculation (PBE) of a relaxed NdBO3 crystal.

Geometry as CIF:
```
data_NdBO3
_cell_length_a 5.0101
_cell_length_b 5.0101
_cell_length_c 7.0967
_cell_angle_alpha 90.00
_cell_angle_beta 90.00
_cell_angle_gamma 90.00
_symmetry_space_group_name_H-M 'I 4/m c m'
_symmetry_Int_Tables_number 140
_symmetry_space_group_name_Hall '-I 4 2c'
loop_
_atom_site_label
_atom_site_fract_x
_atom_site_fract_y
_atom_site_fract_z
Nd1 0.0000 0.5000 0.2500
B1 0.0000 0.0000 0.0000
O1 0.0000 0.0000 0.2500
O2 0.2443 0.2557 0.0000
```

Computed properties:
Its crystal system is tetragonal. For the final energy, the calculation gives -37.2 eV/f.u.



Record 2
The following is a DFT calculation (PBE) of a relaxed NdBO3 crystal.

Geometry as CIF:
```
data_NdBO3
_cell_length_a 5.2944
_cell_length_b 5.2944
_cell_length_c 6.6444
_cell_angle_alpha 90.00
_cell_angle_beta 90.00
_cell_angle_gamma 120.00
_symmetry_space_group_name_H-M 'P 63/m m c'
_symmetry_Int_Tables_number 194
_symmetry_space_group_name_Hall '-P 6c 2c'
loop_
_atom_site_label
_atom_site_fract_x
_atom_site_fract_y
_atom_site_fract_z
Nd1 0.0000 0.0000 0.0000
B1 0.3333 0.6667 0.2500
O1 0.1830 0.3660 0.2500
```

Computed properties:
Its crystal system is hexagonal. For the final energy, the calculation gives -40.7 eV/f.u.



Record 3
The following is a DFT calculation (PBE) of a relaxed NdBO3 crystal.

Geometry as CIF:
```
data_NdBO3
_cell_length_a 5.6931
_cell_length_b 5.0407
_cell_length_c 8.0673
_cell_angle_alpha 90.00
_cell_angle_beta 90.00
_cell_angle_gamma 90.00
_symmetry_space_group_name_H-M 'P n m a'
_symmetry_Int_Tables_number 62
loop_
_symmetry_equiv_pos_as_xyz
'x,y,z'
'-x,-y,-z'
'-x+1/2,-y,z+1/2'
'x+1/2,y,-z+1/2'
'x+1/2,-y+1/2,-z+1/2'
'-x+1/2,y+1/2,z+1/2'
'-x,y+1/2,-z'
'x,-y+1/2,z'
loop_
_atom_site_label
_atom_site_fract_x
_atom_site_fract_y
_atom_site_fract_z
Nd1 0.2423 0.2500 0.0852
B1 0.0836 0.2500 0.7376
O1 0.0882 0.0145 0.8242
O2 0.1007 0.2500 0.5680
```

Computed properties:
Its crystal system is orthorhombic. For the final energy, the calculation gives -41.5 eV/f.u.



Record 4
The following is a DFT calculation (PBE) of a relaxed NdB3O6 crystal.

Geometry as CIF:
```
data_NdB3O6
_cell_length_a 9.7507
_cell_length_b 8.0675
_cell_length_c 6.3265
_cell_angle_alpha 90.00
_cell_angle_beta 126.09
_cell_angle_gamma 90.00
_symmetry_space_group_name_H-M 'C 1 2/c 1'
_symmetry_Int_Tables_number 15
loop_
_symmetry_equiv_pos_as_xyz
'x,y,z'
'-x,-y,-z'
'-x,y,-z+1/2'
'x,-y,z+1/2'
'x+1/2,y+1/2,z'
'-x+1/2,-y+1/2,-z'
'-x+1/2,y+1/2,-z+1/2'
'x+1/2,-y+1/2,z+1/2'
loop_
_atom_site_label
_atom_site_fract_x
_atom_site_fract_y
_atom_site_fract_z
Nd1 0.0000 0.1973 0.2500
B1 0.0000 0.2195 0.7500
B2 0.2244 0.4339 0.0845
O1 0.1023 0.3109 0.9935
O2 0.1058 0.1093 0.7103
O3 0.1988 0.4107 0.4992
```

Computed properties:
Its crystal system is monoclinic. For the final energy, the calculation gives -81.9 eV/f.u.



Record 5
The following is a DFT calculation (PBE) of a relaxed NdBPO crystal.

Geometry as CIF:
```
data_NdBPO
_cell_length_a 3.3110
_cell_length_b 6.9495
_cell_length_c 5.8423
_cell_angle_alpha 90.00
_cell_angle_beta 90.00
_cell_angle_gamma 90.00
_symmetry_space_group_name_H-M 'P m c 21'
_symmetry_Int_Tables_number 26
loop_
_symmetry_equiv_pos_as_xyz
'x,y,z'
'-x,-y,z+1/2'
'-x,y,z'
'x,-y,z+1/2'
loop_
_atom_site_label
_atom_site_fract_x
_atom_site_fract_y
_atom_site_fract_z
Nd1 0.0000 0.2450 0.0000
B1 0.5000 0.3253 0.4370
P1 0.0000 0.1774 0.4905
O1 0.5000 0.4793 0.9105
```

Computed properties:
Its crystal system is orthorhombic. As for the energy above the most stable polymorph in this dataset: 66 meV/atom.



Record 6
The following is a DFT calculation (PBE) of a relaxed NdBPO crystal.

Geometry as CIF:
```
data_NdBPO
_cell_length_a 3.9661
_cell_length_b 3.9661
_cell_length_c 7.3907
_cell_angle_alpha 90.00
_cell_angle_beta 90.00
_cell_angle_gamma 90.00
_symmetry_space_group_name_H-M 'P 4/n m m'
_symmetry_Int_Tables_number 129
loop_
_symmetry_equiv_pos_as_xyz
'x,y,z'
'-x,-y,-z'
'-y+1/2,x,z'
'y+1/2,-x,-z'
'-x+1/2,-y+1/2,z'
'x+1/2,y+1/2,-z'
'y,-x+1/2,z'
'-y,x+1/2,-z'
'x+1/2,-y,-z'
'-x+1/2,y,z'
'-y,-x,-z'
'y,x,z'
'-x,y+1/2,-z'
'x,-y+1/2,z'
'y+1/2,x+1/2,-z'
'-y+1/2,-x+1/2,z'
loop_
_atom_site_label
_atom_site_fract_x
_atom_site_fract_y
_atom_site_fract_z
Nd1 0.2500 0.2500 0.1650
B1 0.2500 0.7500 0.5000
P1 0.2500 0.2500 0.5944
O1 0.2500 0.7500 0.0000
```

Computed properties:
Its crystal system is tetragonal. As for the energy above the most stable polymorph in this dataset: 0 meV/atom.



Record 7
The following is a DFT calculation (PBE) of a relaxed NdBPO crystal.

Geometry as CIF:
```
data_NdBPO
_cell_length_a 6.0842
_cell_length_b 6.0842
_cell_length_c 4.3417
_cell_angle_alpha 90.00
_cell_angle_beta 90.00
_cell_angle_gamma 90.00
_symmetry_space_group_name_H-M 'P 4/n m m'
_symmetry_Int_Tables_number 129
loop_
_symmetry_equiv_pos_as_xyz
'x,y,z'
'-x,-y,-z'
'-y+1/2,x,z'
'y+1/2,-x,-z'
'-x+1/2,-y+1/2,z'
'x+1/2,y+1/2,-z'
'y,-x+1/2,z'
'-y,x+1/2,-z'
'x+1/2,-y,-z'
'-x+1/2,y,z'
'-y,-x,-z'
'y,x,z'
'-x,y+1/2,-z'
'x,-y+1/2,z'
'y+1/2,x+1/2,-z'
'-y+1/2,-x+1/2,z'
loop_
_atom_site_label
_atom_site_fract_x
_atom_site_fract_y
_atom_site_fract_z
Nd1 0.2500 0.7500 0.0000
B1 0.2500 0.2500 0.2783
P1 0.2500 0.2500 0.8528
O1 0.2500 0.7500 0.5000
```

Computed properties:
Its crystal system is tetragonal. As for the energy above the most stable polymorph in this dataset: 893 meV/atom.



Record 8
The following is a DFT calculation (PBE) of a relaxed NdBPO crystal.

Geometry as CIF:
```
data_NdBPO
_cell_length_a 3.9209
_cell_length_b 5.4118
_cell_length_c 6.0121
_cell_angle_alpha 90.00
_cell_angle_beta 90.00
_cell_angle_gamma 90.00
_symmetry_space_group_name_H-M 'P m c 21'
_symmetry_Int_Tables_number 26
loop_
_symmetry_equiv_pos_as_xyz
'x,y,z'
'-x,-y,z+1/2'
'-x,y,z'
'x,-y,z+1/2'
loop_
_atom_site_label
_atom_site_fract_x
_atom_site_fract_y
_atom_site_fract_z
Nd1 0.0000 0.2209 0.0000
B1 0.5000 0.3290 0.3517
P1 0.5000 0.3749 0.6706
O1 0.0000 0.1728 0.3641
```

Computed properties:
Its crystal system is orthorhombic. As for the energy above the most stable polymorph in this dataset: 513 meV/atom.